# La2PrTh

An optimized crystal structure of La2PrTh (PBE-GGA, Alexandria via LeMat-Bulk).

```
data_La2PrTh
_chemical_formula_sum 'La8 Pr4 Th4'
_space_group_name_H-M_alt 'P 1'
_space_group_IT_number 1
_space_group_name_Hall 'P 1'
_cell_length_a 8.288
_cell_length_b 8.288
_cell_length_c 8.288
_cell_angle_alpha 90.00
_cell_angle_beta 90.00
_cell_angle_gamma 90.00
loop_
_atom_site_label
_atom_site_type_symbol
_atom_site_fract_x
_atom_site_fract_y
_atom_site_fract_z
La1 La 0.250 0.250 0.250
La2 La 0.250 0.250 0.750
La3 La 0.250 0.750 0.250
La4 La 0.250 0.750 0.750
La5 La 0.750 0.250 0.250
La6 La 0.750 0.250 0.750
La7 La 0.750 0.750 0.250
La8 La 0.750 0.750 0.750
Pr1 Pr 0.000 0.000 0.000
Pr2 Pr 0.000 0.500 0.500
Pr3 Pr 0.500 0.000 0.500
Pr4 Pr 0.500 0.500 0.000
Th1 Th 0.000 0.000 0.500
Th2 Th 0.000 0.500 0.000
Th3 Th 0.500 0.000 0.000
Th4 Th 0.500 0.500 0.500
```

Output
Energy above the most stable polymorph in this dataset ... 0.187 eV/atom
Electronic total energy ... -85.0 eV per cell
M_tot ... 0.991 μB per formula unit
ΔH_f (0 K) ... 0.20 eV per atom

---

# La2Y

An optimized crystal structure of La2Y (PBE-GGA, Alexandria via LeMat-Bulk).

```
data_La2Y
_chemical_formula_sum 'La4 Y2'
_space_group_name_H-M_alt 'P 1'
_space_group_IT_number 1
_space_group_name_Hall 'P 1'
_cell_length_a 6.738
_cell_length_b 6.738
_cell_length_c 6.738
_cell_angle_alpha 60.00
_cell_angle_beta 60.00
_cell_angle_gamma 60.00
loop_
_atom_site_label
_atom_site_type_symbol
_atom_site_fract_x
_atom_site_fract_y
_atom_site_fract_z
La1 La 0.000 0.000 0.000
La2 La 0.000 0.000 0.500
La3 La 0.000 0.500 0.000
La4 La 0.500 0.000 0.000
Y1 Y 0.375 0.375 0.375
Y2 Y 0.625 0.625 0.625
```

Output
Energy above the most stable polymorph in this dataset ... 0.205 eV/atom
Electronic total energy ... -31.3 eV per cell
M_tot ... 0.001 μB per formula unit
ΔH_f (0 K) ... 0.22 eV per atom

---

# Ti4SbSe

An optimized crystal structure of Ti4SbSe (PBE-GGA, Alexandria via LeMat-Bulk).

```
data_Ti4SbSe
_chemical_formula_sum 'Ti8 Sb2 Se2'
_space_group_name_H-M_alt 'P 1'
_space_group_IT_number 1
_space_group_name_Hall 'P 1'
_cell_length_a 7.236
_cell_length_b 7.236
_cell_length_c 6.652
_cell_angle_alpha 101.59
_cell_angle_beta 101.59
_cell_angle_gamma 41.22
loop_
_atom_site_label
_atom_site_type_symbol
_atom_site_fract_x
_atom_site_fract_y
_atom_site_fract_z
Ti1 Ti 0.042 0.815 0.575
Ti2 Ti 0.183 0.472 0.870
Ti3 Ti 0.185 0.958 0.925
Ti4 Ti 0.472 0.183 0.370
Ti5 Ti 0.528 0.817 0.630
Ti6 Ti 0.815 0.042 0.075
Ti7 Ti 0.817 0.528 0.130
Ti8 Ti 0.958 0.185 0.425
Sb1 Sb 0.378 0.622 0.250
Sb2 Sb 0.622 0.378 0.750
Se1 Se 0.000 0.500 0.500
Se2 Se 0.500 0.000 0.000
```

Output
ΔE_f (raw) ... -366 meV per atom
Electronic total energy ... -82.8 eV per cell
M_tot ... 0.417 μB per formula unit

---

# Y3ZrO6

An optimized crystal structure of Y3ZrO6 (PBE-GGA, Alexandria via LeMat-Bulk).

```
data_Y3ZrO6
_chemical_formula_sum 'Y6 Zr2 O12'
_space_group_name_H-M_alt 'P 1'
_space_group_IT_number 1
_space_group_name_Hall 'P 1'
_cell_length_a 6.679
_cell_length_b 6.679
_cell_length_c 6.679
_cell_angle_alpha 91.35
_cell_angle_beta 91.35
_cell_angle_gamma 91.35
loop_
_atom_site_label
_atom_site_type_symbol
_atom_site_fract_x
_atom_site_fract_y
_atom_site_fract_z
Y1 Y 0.039 0.746 0.565
Y2 Y 0.254 0.435 0.961
Y3 Y 0.435 0.961 0.254
Y4 Y 0.565 0.039 0.746
Y5 Y 0.746 0.565 0.039
Y6 Y 0.961 0.254 0.435
Zr1 Zr 0.000 0.000 0.000
Zr2 Zr 0.500 0.500 0.500
O1 O 0.040 0.697 0.917
O2 O 0.083 0.960 0.303
O3 O 0.188 0.444 0.613
O4 O 0.303 0.083 0.960
O5 O 0.387 0.812 0.556
O6 O 0.444 0.613 0.188
O7 O 0.556 0.387 0.812
O8 O 0.613 0.188 0.444
O9 O 0.697 0.917 0.040
O10 O 0.812 0.556 0.387
O11 O 0.917 0.040 0.697
O12 O 0.960 0.303 0.083
```

Output
ΔE_f (raw) ... -3353 meV per atom
Electronic total energy ... -182.4 eV per cell
M_tot ... 0.000 μB per formula unit

---

# CaCo2W

An optimized crystal structure of CaCo2W (PBE-GGA, Alexandria via LeMat-Bulk).

```
data_CaCo2W
_chemical_formula_sum 'Ca3 Co6 W3'
_space_group_name_H-M_alt 'P 1'
_space_group_IT_number 1
_space_group_name_Hall 'P 1'
_cell_length_a 3.188
_cell_length_b 3.188
_cell_length_c 23.254
_cell_angle_alpha 90.00
_cell_angle_beta 90.00
_cell_angle_gamma 120.00
loop_
_atom_site_label
_atom_site_type_symbol
_atom_site_fract_x
_atom_site_fract_y
_atom_site_fract_z
Ca1 Ca 0.000 0.000 0.000
Ca2 Ca 0.333 0.667 0.667
Ca3 Ca 0.667 0.333 0.333
Co1 Co 0.000 0.000 0.234
Co2 Co 0.000 0.000 0.766
Co3 Co 0.333 0.667 0.433
Co4 Co 0.333 0.667 0.901
Co5 Co 0.667 0.333 0.099
Co6 Co 0.667 0.333 0.567
W1 W 0.000 0.000 0.500
W2 W 0.333 0.667 0.167
W3 W 0.667 0.333 0.833
```

Output
Energy above the most stable polymorph in this dataset ... 0.347 eV/atom
Electronic total energy ... -81.0 eV per cell
M_tot ... 0.000 μB per formula unit
ΔH_f (0 K) ... 0.54 eV per atom

---

# K4TcSe2

An optimized crystal structure of K4TcSe2 (PBE-GGA, Alexandria via LeMat-Bulk).

```
data_K4TcSe2
_chemical_formula_sum 'K8 Tc2 Se4'
_space_group_name_H-M_alt 'P 1'
_space_group_IT_number 1
_space_group_name_Hall 'P 1'
_cell_length_a 5.892
_cell_length_b 5.892
_cell_length_c 17.226
_cell_angle_alpha 90.00
_cell_angle_beta 90.00
_cell_angle_gamma 90.00
loop_
_atom_site_label
_atom_site_type_symbol
_atom_site_fract_x
_atom_site_fract_y
_atom_site_fract_z
K1 K 0.000 0.000 0.201
K2 K 0.000 0.000 0.799
K3 K 0.000 0.500 0.000
K4 K 0.000 0.500 0.500
K5 K 0.500 0.000 0.000
K6 K 0.500 0.000 0.500
K7 K 0.500 0.500 0.299
K8 K 0.500 0.500 0.701
Tc1 Tc 0.000 0.000 0.000
Tc2 Tc 0.500 0.500 0.500
Se1 Se 0.000 0.000 0.382
Se2 Se 0.000 0.000 0.618
Se3 Se 0.500 0.500 0.118
Se4 Se 0.500 0.500 0.882
```

Output
ΔE_f (raw) ... 324 meV per atom
Electronic total energy ... -38.9 eV per cell
M_tot ... 5.048 μB per formula unit

---

# Ba3InSe4Cl

An optimized crystal structure of Ba3InSe4Cl (PBE-GGA, Alexandria via LeMat-Bulk).

```
data_Ba3InSe4Cl
_chemical_formula_sum 'Ba6 In2 Se8 Cl2'
_space_group_name_H-M_alt 'P 1'
_space_group_IT_number 1
_space_group_name_Hall 'P 1'
_cell_length_a 9.822
_cell_length_b 9.822
_cell_length_c 9.822
_cell_angle_alpha 127.49
_cell_angle_beta 127.49
_cell_angle_gamma 77.46
loop_
_atom_site_label
_atom_site_type_symbol
_atom_site_fract_x
_atom_site_fract_y
_atom_site_fract_z
Ba1 Ba 0.154 0.654 0.809
Ba2 Ba 0.250 0.250 0.000
Ba3 Ba 0.346 0.154 0.500
Ba4 Ba 0.654 0.846 0.500
Ba5 Ba 0.750 0.750 0.000
Ba6 Ba 0.846 0.346 0.191
In1 In 0.250 0.750 0.500
In2 In 0.750 0.250 0.500
Se1 Se 0.019 0.197 0.500
Se2 Se 0.197 0.697 0.178
Se3 Se 0.303 0.481 0.500
Se4 Se 0.481 0.981 0.178
Se5 Se 0.519 0.019 0.822
Se6 Se 0.697 0.519 0.500
Se7 Se 0.803 0.303 0.822
Se8 Se 0.981 0.803 0.500
Cl1 Cl 0.000 0.000 0.000
Cl2 Cl 0.500 0.500 0.000
```

Output
ΔE_f (raw) ... -1709 meV per atom
Electronic total energy ... -79.3 eV per cell
M_tot ... 0.000 μB per formula unit

---

# SrRu2N2

An optimized crystal structure of SrRu2N2 (PBE-GGA, Alexandria via LeMat-Bulk).

```
data_SrRu2N2
_chemical_formula_sum 'Sr2 Ru4 N4'
_space_group_name_H-M_alt 'P 1'
_space_group_IT_number 1
_space_group_name_Hall 'P 1'
_cell_length_a 6.974
_cell_length_b 6.974
_cell_length_c 2.860
_cell_angle_alpha 90.00
_cell_angle_beta 90.00
_cell_angle_gamma 90.00
loop_
_atom_site_label
_atom_site_type_symbol
_atom_site_fract_x
_atom_site_fract_y
_atom_site_fract_z
Sr1 Sr 0.000 0.000 0.000
Sr2 Sr 0.500 0.500 0.000
Ru1 Ru 0.122 0.378 0.500
Ru2 Ru 0.378 0.878 0.500
Ru3 Ru 0.622 0.122 0.500
Ru4 Ru 0.878 0.622 0.500
N1 N 0.121 0.621 0.000
N2 N 0.379 0.121 0.000
N3 N 0.621 0.879 0.000
N4 N 0.879 0.379 0.000
```

Output
ΔE_f (raw) ... 968 meV per atom
Energy above the most stable polymorph in this dataset ... 0.931 eV/atom
Electronic total energy ... -64.1 eV per cell
M_tot ... 0.008 μB per formula unit

---

# ZnHgPb2O

An optimized crystal structure of ZnHgPb2O (PBE-GGA, Alexandria via LeMat-Bulk).

```
data_ZnHgPb2O
_chemical_formula_sum 'Zn1 Hg1 Pb2 O1'
_space_group_name_H-M_alt 'P 1'
_space_group_IT_number 1
_space_group_name_Hall 'P 1'
_cell_length_a 5.849
_cell_length_b 5.849
_cell_length_c 3.614
_cell_angle_alpha 90.00
_cell_angle_beta 90.00
_cell_angle_gamma 90.00
loop_
_atom_site_label
_atom_site_type_symbol
_atom_site_fract_x
_atom_site_fract_y
_atom_site_fract_z
Zn1 Zn 0.000 0.000 0.000
Hg1 Hg 0.500 0.500 0.500
Pb1 Pb 0.000 0.500 0.000
Pb2 Pb 0.500 0.000 0.000
O1 O 0.000 0.000 0.500
```

Output
ΔE_f (raw) ... -106 meV per atom
Electronic total energy ... -14.5 eV per cell
M_tot ... 0.000 μB per formula unit

---

# Sm4GdDy

An optimized crystal structure of Sm4GdDy (PBE-GGA, Alexandria via LeMat-Bulk).

```
data_Sm4GdDy
_chemical_formula_sum 'Sm4 Gd1 Dy1'
_space_group_name_H-M_alt 'P 1'
_space_group_IT_number 1
_space_group_name_Hall 'P 1'
_cell_length_a 6.651
_cell_length_b 6.651
_cell_length_c 6.651
_cell_angle_alpha 60.00
_cell_angle_beta 60.00
_cell_angle_gamma 60.00
loop_
_atom_site_label
_atom_site_type_symbol
_atom_site_fract_x
_atom_site_fract_y
_atom_site_fract_z
Sm1 Sm 0.376 0.376 0.376
Sm2 Sm 0.376 0.376 0.873
Sm3 Sm 0.376 0.873 0.376
Sm4 Sm 0.873 0.376 0.376
Gd1 Gd 0.000 0.000 0.000
Dy1 Dy 0.750 0.750 0.750
```

Output
Electronic total energy ... -36.1 eV per cell
M_tot ... 7.838 μB per formula unit
ΔH_f (0 K) ... 0.25 eV per atom